Record 1
A geometry-optimized BaNb2Cu structure, computed with GGA-PBE.

Geometry as CIF:
```
data_BaNb2Cu
_cell_length_a 10.381
_cell_length_b 10.381
_cell_length_c 10.381
_cell_angle_alpha 152.79
_cell_angle_beta 152.79
_cell_angle_gamma 38.86
_symmetry_space_group_name_H-M 'P 1'
_symmetry_Int_Tables_number 1
loop_
_symmetry_equiv_pos_as_xyz
'x,y,z'
loop_
_atom_site_label
_atom_site_fract_x
_atom_site_fract_y
_atom_site_fract_z
Ba1 0.375 0.625 0.750
Ba2 0.625 0.375 0.250
Nb1 0.000 0.000 0.000
Nb2 0.000 0.000 0.500
Nb3 0.000 0.500 0.000
Nb4 0.500 0.000 0.500
Cu1 0.125 0.875 0.250
Cu2 0.875 0.125 0.750
```

Record 2
A geometry-optimized BaNbCu structure, computed with GGA-PBE.

Geometry as CIF:
```
data_BaNbCu
_cell_length_a 4.008
_cell_length_b 4.646
_cell_length_c 10.980
_cell_angle_alpha 98.61
_cell_angle_beta 90.29
_cell_angle_gamma 115.48
_symmetry_space_group_name_H-M 'P 1'
_symmetry_Int_Tables_number 1
loop_
_symmetry_equiv_pos_as_xyz
'x,y,z'
loop_
_atom_site_label
_atom_site_fract_x
_atom_site_fract_y
_atom_site_fract_z
Ba1 0.000 0.000 0.000
Ba2 0.207 0.394 0.638
Nb1 0.359 0.709 0.225
Nb2 0.767 0.520 0.363
Cu1 0.064 0.115 0.310
Cu2 0.482 0.950 0.455
```

Record 3
A geometry-optimized BaNbCu structure, computed with GGA-PBE.

Geometry as CIF:
```
data_BaNbCu
_cell_length_a 10.550
_cell_length_b 3.508
_cell_length_c 9.088
_cell_angle_alpha 90.00
_cell_angle_beta 90.00
_cell_angle_gamma 90.00
_symmetry_space_group_name_H-M 'P 1'
_symmetry_Int_Tables_number 1
loop_
_symmetry_equiv_pos_as_xyz
'x,y,z'
loop_
_atom_site_label
_atom_site_fract_x
_atom_site_fract_y
_atom_site_fract_z
Ba1 0.183 0.250 0.077
Ba2 0.317 0.750 0.577
Ba3 0.683 0.250 0.423
Ba4 0.817 0.750 0.923
Nb1 0.048 0.250 0.410
Nb2 0.452 0.750 0.910
Nb3 0.548 0.250 0.090
Nb4 0.952 0.750 0.590
Cu1 0.083 0.250 0.737
Cu2 0.417 0.750 0.237
Cu3 0.583 0.250 0.763
Cu4 0.917 0.750 0.263
```

Record 4
A geometry-optimized BaNbCu3 structure, computed with GGA-PBE.

Geometry as CIF:
```
data_BaNbCu3
_cell_length_a 5.054
_cell_length_b 5.054
_cell_length_c 5.054
_cell_angle_alpha 90.00
_cell_angle_beta 90.00
_cell_angle_gamma 90.00
_symmetry_space_group_name_H-M 'P 1'
_symmetry_Int_Tables_number 1
loop_
_symmetry_equiv_pos_as_xyz
'x,y,z'
loop_
_atom_site_label
_atom_site_fract_x
_atom_site_fract_y
_atom_site_fract_z
Ba1 0.000 0.000 0.000
Nb1 0.500 0.500 0.500
Cu1 0.000 0.000 0.500
Cu2 0.000 0.500 0.000
Cu3 0.500 0.000 0.000
```

Record 5
A geometry-optimized BaNb3Cu structure, computed with GGA-PBE.

Geometry as CIF:
```
data_BaNb3Cu
_cell_length_a 4.938
_cell_length_b 4.938
_cell_length_c 4.938
_cell_angle_alpha 90.00
_cell_angle_beta 90.00
_cell_angle_gamma 90.00
_symmetry_space_group_name_H-M 'P 1'
_symmetry_Int_Tables_number 1
loop_
_symmetry_equiv_pos_as_xyz
'x,y,z'
loop_
_atom_site_label
_atom_site_fract_x
_atom_site_fract_y
_atom_site_fract_z
Ba1 0.000 0.000 0.000
Nb1 0.000 0.500 0.500
Nb2 0.500 0.000 0.500
Nb3 0.500 0.500 0.000
Cu1 0.500 0.500 0.500
```

Record 6
A geometry-optimized BaNbCu structure, computed with GGA-PBE.

Geometry as CIF:
```
data_BaNbCu
_cell_length_a 3.826
_cell_length_b 3.830
_cell_length_c 11.647
_cell_angle_alpha 89.39
_cell_angle_beta 89.72
_cell_angle_gamma 89.98
_symmetry_space_group_name_H-M 'P 1'
_symmetry_Int_Tables_number 1
loop_
_symmetry_equiv_pos_as_xyz
'x,y,z'
loop_
_atom_site_label
_atom_site_fract_x
_atom_site_fract_y
_atom_site_fract_z
Ba1 0.000 0.000 0.000
Ba2 0.497 0.508 0.327
Nb1 0.014 0.013 0.579
Nb2 0.515 0.513 0.617
Cu1 0.013 0.507 0.772
Cu2 0.512 0.007 0.771
```

Record 7
A geometry-optimized BaNbCu structure, computed with GGA-PBE.

Geometry as CIF:
```
data_BaNbCu
_cell_length_a 6.129
_cell_length_b 6.129
_cell_length_c 5.168
_cell_angle_alpha 114.67
_cell_angle_beta 114.67
_cell_angle_gamma 64.89
_symmetry_space_group_name_H-M 'P 1'
_symmetry_Int_Tables_number 1
loop_
_symmetry_equiv_pos_as_xyz
'x,y,z'
loop_
_atom_site_label
_atom_site_fract_x
_atom_site_fract_y
_atom_site_fract_z
Ba1 0.000 0.000 0.000
Ba2 0.733 0.733 0.236
Nb1 0.318 0.318 0.697
Nb2 0.385 0.385 0.226
Cu1 0.385 0.836 0.629
Cu2 0.836 0.385 0.629
```

Record 8
A geometry-optimized BaNbCu structure, computed with GGA-PBE.

Geometry as CIF:
```
data_BaNbCu
_cell_length_a 9.914
_cell_length_b 9.914
_cell_length_c 4.257
_cell_angle_alpha 102.02
_cell_angle_beta 102.02
_cell_angle_gamma 24.78
_symmetry_space_group_name_H-M 'P 1'
_symmetry_Int_Tables_number 1
loop_
_symmetry_equiv_pos_as_xyz
'x,y,z'
loop_
_atom_site_label
_atom_site_fract_x
_atom_site_fract_y
_atom_site_fract_z
Ba1 0.000 0.000 0.000
Ba2 0.678 0.678 0.677
Nb1 0.264 0.264 0.251
Nb2 0.842 0.842 0.388
Cu1 0.345 0.345 0.844
Cu2 0.423 0.423 0.417
```

Record 9
A geometry-optimized BaNbCu structure, computed with GGA-PBE.

Geometry as CIF:
```
data_BaNbCu
_cell_length_a 3.537
_cell_length_b 4.435
_cell_length_c 11.534
_cell_angle_alpha 93.78
_cell_angle_beta 95.72
_cell_angle_gamma 106.84
_symmetry_space_group_name_H-M 'P 1'
_symmetry_Int_Tables_number 1
loop_
_symmetry_equiv_pos_as_xyz
'x,y,z'
loop_
_atom_site_label
_atom_site_fract_x
_atom_site_fract_y
_atom_site_fract_z
Ba1 0.000 0.000 0.000
Ba2 0.241 0.414 0.653
Nb1 0.377 0.591 0.225
Nb2 0.924 0.093 0.299
Cu1 0.440 0.959 0.461
Cu2 0.768 0.546 0.428
```

Record 10
A geometry-optimized BaNbCu structure, computed with GGA-PBE.

Geometry as CIF:
```
data_BaNbCu
_cell_length_a 4.238
_cell_length_b 4.238
_cell_length_c 10.788
_cell_angle_alpha 90.00
_cell_angle_beta 90.00
_cell_angle_gamma 118.38
_symmetry_space_group_name_H-M 'P 1'
_symmetry_Int_Tables_number 1
loop_
_symmetry_equiv_pos_as_xyz
'x,y,z'
loop_
_atom_site_label
_atom_site_fract_x
_atom_site_fract_y
_atom_site_fract_z
Ba1 0.000 0.000 0.000
Ba2 0.000 0.000 0.500
Nb1 0.335 0.665 0.750
Nb2 0.665 0.335 0.250
Cu1 0.326 0.674 0.250
Cu2 0.674 0.326 0.750
```

Record 11
A geometry-optimized BaNbCu structure, computed with GGA-PBE.

Geometry as CIF:
```
data_BaNbCu
_cell_length_a 5.139
_cell_length_b 5.139
_cell_length_c 6.042
_cell_angle_alpha 90.00
_cell_angle_beta 90.00
_cell_angle_gamma 120.00
_symmetry_space_group_name_H-M 'P 1'
_symmetry_Int_Tables_number 1
loop_
_symmetry_equiv_pos_as_xyz
'x,y,z'
loop_
_atom_site_label
_atom_site_fract_x
_atom_site_fract_y
_atom_site_fract_z
Ba1 0.333 0.667 0.250
Ba2 0.667 0.333 0.750
Nb1 0.333 0.667 0.750
Nb2 0.667 0.333 0.250
Cu1 0.000 0.000 0.000
Cu2 0.000 0.000 0.500
```

Record 12
A geometry-optimized BaNbCu3 structure, computed with GGA-PBE.

Geometry as CIF:
```
data_BaNbCu3
_cell_length_a 4.979
_cell_length_b 4.979
_cell_length_c 4.979
_cell_angle_alpha 90.00
_cell_angle_beta 90.00
_cell_angle_gamma 90.00
_symmetry_space_group_name_H-M 'P 1'
_symmetry_Int_Tables_number 1
loop_
_symmetry_equiv_pos_as_xyz
'x,y,z'
loop_
_atom_site_label
_atom_site_fract_x
_atom_site_fract_y
_atom_site_fract_z
Ba1 0.000 0.000 0.000
Nb1 0.500 0.500 0.500
Cu1 0.000 0.500 0.500
Cu2 0.500 0.000 0.500
Cu3 0.500 0.500 0.000
```

no.,energy above the lowest structure with this stoichiometry (eV per atom),total energy (eV/atom),E_form (eV per atom)
1,0.000,-5.522,1.02
2,0.018,-4.986,0.38
3,0.186,-4.818,0.55
4,1.382,-2.834,2.02
5,0.000,-5.982,1.26
6,0.000,-5.004,0.36
7,0.141,-4.863,0.50
8,0.080,-4.923,0.44
9,0.038,-4.966,0.40
10,0.386,-4.617,0.75
11,1.055,-3.948,1.41
12,0.000,-4.217,0.64